Below is crystalline LiCuReSi at its relaxed geometry, with properties calculated at the PBE-GGA level.

abc: 4.1154 4.1154 4.1154
angles: 60.00 60.00 60.00
Closest atoms and distances in Å follow each position.
Fractional positions:
1 Cu 0.7500 0.7500 0.7500  4 Si 2.52, 4 Li 2.52
2 Li 0.5000 0.5000 0.5000  4 Re 2.52, 4 Cu 2.52
3 Re 0.2500 0.2500 0.2500  4 Li 2.52, 4 Si 2.52
4 Si 0.0000 0.0000 0.0000  4 Cu 2.52, 4 Re 2.52

Calculated values
Space group: F-43m
DFT total energy (eV/f.u.): -23.25
Mass density (g/cm3): 9.6
Total moment (μB per atom): 0.002


Below is crystalline ErAl3B4O12 at its relaxed geometry, with properties calculated at the PBE-GGA level.

abc: 5.8656 5.8656 5.8656
angles: 104.51 104.51 104.51
Closest atoms and distances in Å follow each position.
Fractional positions:
1 Al 0.5560 0.4440 0.0000  6 O 1.86-1.92
2 Al 0.0000 0.5560 0.4440  6 O 1.86-1.92
3 Al 0.4440 0.0000 0.5560  6 O 1.86-1.92
4 B 0.5000 0.9428 0.0572  3 O 1.37-1.38
5 B 0.9428 0.0572 0.5000  3 O 1.37-1.38
6 B 0.5000 0.5000 0.5000  3 O 1.38
7 B 0.0572 0.5000 0.9428  3 O 1.37-1.38
8 Er 0.0000 0.0000 0.0000  6 O 2.30
9 O 0.6308 0.7800 0.0296  1 B 1.37
10 O 0.9087 0.5000 0.0913  1 B 1.38
11 O 0.3692 0.9704 0.2200  1 B 1.37
12 O 0.6489 0.5000 0.3511  1 B 1.38
13 O 0.9704 0.2200 0.3692  1 B 1.37
14 O 0.3511 0.6489 0.5000  1 B 1.38
15 O 0.0913 0.9087 0.5000  1 B 1.38
16 O 0.7800 0.0296 0.6308  1 B 1.37
17 O 0.5000 0.3511 0.6489  1 B 1.38
18 O 0.0296 0.6308 0.7800  1 B 1.37
19 O 0.5000 0.0913 0.9087  1 B 1.38
20 O 0.2200 0.3692 0.9704  1 B 1.37

Calculated values
Space group: R32
DFT total energy (eV/f.u.): -158.56
Mass density (g/cm3): 4.5
Total moment (μB per atom): 0.000


Below is crystalline GdErCSe at its relaxed geometry, with properties calculated at the PBE-GGA level.

abc: 3.7634 3.7634 13.2828
angles: 90.00 90.00 120.00
Closest atoms and distances in Å follow each position.
Fractional positions:
1 C 0.0000 0.0000 0.4980  3 Er 2.54, 3 Gd 2.56
2 C 0.0000 0.0000 0.9980  3 Er 2.54, 3 Gd 2.56
3 Er 0.3333 0.6667 0.3992  3 C 2.54
4 Er 0.6667 0.3333 0.8992  3 C 2.54
5 Gd 0.3333 0.6667 0.0997  3 C 2.56
6 Gd 0.6667 0.3333 0.5997  3 C 2.56
7 Se 0.6667 0.3333 0.2532  3 Er 2.91, 3 Gd 2.98
8 Se 0.3333 0.6667 0.7532  3 Er 2.91, 3 Gd 2.98

Calculated values
Space group: P6_3mc
DFT total energy (eV/f.u.): -26.49
Mass density (g/cm3): 8.5
Total moment (μB per atom): 0.001


Below is crystalline YErNF2 at its relaxed geometry, with properties calculated at the PBE-GGA level.

abc: 3.4487 3.4487 6.6340
angles: 90.00 90.00 120.00
Closest atoms and distances in Å follow each position.
Fractional positions:
1 Er 0.0000 0.0000 0.3013  3 F 2.30, 3 N 2.36
2 F 0.3333 0.6667 0.1269  3 Er 2.30, 3 F 2.56
3 F 0.0000 0.0000 0.8835  3 Y 2.35, 3 F 2.56
4 N 0.6667 0.3333 0.4919  3 Er 2.36, 3 Y 2.41
5 Y 0.3333 0.6667 0.6965  3 F 2.35, 3 N 2.41

Calculated values
Space group: P3m1
DFT total energy (eV/f.u.): -37.14
Mass density (g/cm3): 7.5
Total moment (μB per atom): 0.000